First-principles (GGA-PBE) data for an optimized crystal structure of NaCu6Pd12, as listed in Alexandria via LeMat-Bulk.

## Properties
The total magnetization is 0.00 μB/cell. The value obtained for the formation energy is 2.7 eV/f.u. The calculation puts the density of states at the Fermi level at 25.1 states/eV/cell. As for the energy above the most stable polymorph in this dataset: 193 meV/atom.

Cell lengths 7.144, 7.144, 7.144 Å; angles 106.07, 106.07, 106.07 degrees
Atoms (fractional coordinates):
Pd 0.617 0.861 0.617
Pd 0.117 0.500 0.883
Pd 0.383 0.139 0.383
Pd 0.139 0.383 0.383
Pd 0.883 0.500 0.117
Pd 0.117 0.883 0.500
Pd 0.500 0.117 0.883
Pd 0.500 0.883 0.117
Pd 0.861 0.617 0.617
Pd 0.383 0.383 0.139
Pd 0.883 0.117 0.500
Pd 0.617 0.617 0.861
Cu 0.287 0.707 0.287
Cu 0.707 0.287 0.287
Cu 0.287 0.287 0.707
Cu 0.713 0.713 0.293
Cu 0.293 0.713 0.713
Cu 0.713 0.293 0.713
Na 0.000 0.000 0.000



First-principles (GGA-PBE) data for an optimized crystal structure of Na2CuPd3, as listed in Alexandria via LeMat-Bulk.

## Properties
The total magnetization is 0.00 μB/cell. The value obtained for the formation energy is -0.9 eV/f.u. The calculation puts the density of states at the Fermi level at 3.0 states/eV/cell.

Cell lengths 5.410, 5.410, 5.239 Å; angles 90.13, 121.05, 119.89 degrees
Atoms (fractional coordinates):
Pd 0.000 0.000 0.500
Pd 0.500 0.000 0.500
Pd 0.500 0.500 0.500
Cu 0.000 0.000 0.000
Na 0.752 0.376 0.128
Na 0.248 0.624 0.872



First-principles (GGA-PBE) data for an optimized crystal structure of NaCu2Pd, as listed in Alexandria via LeMat-Bulk.

## Properties
The total magnetization is 0.00 μB/cell. The value obtained for the formation energy is 0.4 eV/f.u. The calculation puts the density of states at the Fermi level at 1.0 states/eV/cell. As for the energy above the most stable polymorph in this dataset: 1 meV/atom.

Cell lengths 3.004, 4.453, 4.453 Å; angles 90.00, 90.00, 90.00 degrees
Atoms (fractional coordinates):
Na 0.500 0.000 0.000
Cu 0.000 0.000 0.500
Cu 0.000 0.500 0.000
Pd 0.500 0.500 0.500



First-principles (GGA-PBE) data for an optimized crystal structure of NaCuPd4, as listed in Alexandria via LeMat-Bulk.

## Properties
The total magnetization is 0.00 μB/cell. The value obtained for the formation energy is 0.5 eV/f.u. The calculation puts the density of states at the Fermi level at 5.7 states/eV/cell.

Cell lengths 5.273, 5.273, 5.273 Å; angles 60.00, 60.00, 60.00 degrees
Atoms (fractional coordinates):
Pd 0.625 0.124 0.625
Pd 0.625 0.625 0.625
Pd 0.625 0.625 0.124
Pd 0.124 0.625 0.625
Na 0.250 0.250 0.250
Cu 0.000 0.000 0.000



First-principles (GGA-PBE) data for an optimized crystal structure of NaCuPd, as listed in Alexandria via LeMat-Bulk.

## Properties
The total magnetization is 0.00 μB/cell. The value obtained for the formation energy is 0.6 eV/f.u. The calculation puts the density of states at the Fermi level at 3.8 states/eV/cell. As for the energy above the most stable polymorph in this dataset: 317 meV/atom.

Cell lengths 7.024, 7.024, 5.420 Å; angles 90.00, 90.00, 90.00 degrees
Atoms (fractional coordinates):
Cu 0.793 0.793 0.500
Cu 0.707 0.293 0.750
Cu 0.293 0.707 0.250
Cu 0.207 0.207 0.000
Na 0.736 0.736 0.000
Na 0.264 0.264 0.500
Na 0.236 0.764 0.750
Na 0.764 0.236 0.250
Pd 0.546 0.546 0.500
Pd 0.046 0.954 0.250
Pd 0.954 0.046 0.750
Pd 0.454 0.454 0.000



First-principles (GGA-PBE) data for an optimized crystal structure of NaCuPd, as listed in Alexandria via LeMat-Bulk.

## Properties
The total magnetization is 0.00 μB/cell. The value obtained for the formation energy is 0.1 eV/f.u. The calculation puts the density of states at the Fermi level at 0.4 states/eV/cell. As for the energy above the most stable polymorph in this dataset: 153 meV/atom.

Cell lengths 3.237, 3.237, 5.620 Å; angles 106.74, 106.74, 90.00 degrees
Atoms (fractional coordinates):
Na 0.000 0.000 0.001
Cu 0.302 0.302 0.604
Pd 0.698 0.698 0.395



First-principles (GGA-PBE) data for an optimized crystal structure of NaCu2Pd, as listed in Alexandria via LeMat-Bulk.

## Properties
The total magnetization is 0.00 μB/cell. The value obtained for the formation energy is 0.4 eV/f.u. The calculation puts the density of states at the Fermi level at 0.7 states/eV/cell. As for the energy above the most stable polymorph in this dataset: 0 meV/atom.

Cell lengths 3.066, 3.066, 6.980 Å; angles 90.00, 90.00, 90.00 degrees
Atoms (fractional coordinates):
Pd 0.500 0.500 0.000
Cu 0.000 0.000 0.797
Cu 0.000 0.000 0.203
Na 0.500 0.500 0.500



First-principles (GGA-PBE) data for an optimized crystal structure of NaCu3Pd, as listed in Alexandria via LeMat-Bulk.

## Properties
The total magnetization is 0.00 μB/cell. The value obtained for the formation energy is 2.7 eV/f.u. The calculation puts the density of states at the Fermi level at 2.1 states/eV/cell. As for the energy above the most stable polymorph in this dataset: 0 meV/atom.

Cell lengths 4.762, 4.762, 4.762 Å; angles 90.00, 90.00, 90.00 degrees
Atoms (fractional coordinates):
Pd 0.000 0.000 0.000
Cu 0.500 0.000 0.000
Cu 0.000 0.500 0.000
Cu 0.000 0.000 0.500
Na 0.500 0.500 0.500



no.,raw total energy (eV per atom)
1,-4.500
2,-3.873
3,-3.582
4,-4.276
5,-3.336
6,-3.500
7,-3.583
8,-3.229